First-principles (meta-GGA SCAN) data for a PBEsol-optimized structure of Li4Mn3Ni3Sn2O16, as listed in the Alexandria database.

Space group: Cm, No. 8
Formation energy from raw total energies: -1.918 eV per atom

abc: 5.707 5.812 9.531
angles: 91.33 90.00 119.40
Last column: magnetic moment on the atom in μB.
Fractional positions:
1 Ni 0.170 0.340 0.785  -1.44
2 Ni 0.831 0.171 0.286  1.01
3 Ni 0.340 0.171 0.286  1.01
4 Mn 0.662 0.831 0.785  2.75
5 Mn 0.169 0.831 0.785  2.75
6 Mn 0.829 0.658 0.284  2.77
7 Sn 0.326 0.652 0.507  0.04
8 Sn 0.668 0.335 0.009  0.01
9 O 0.674 0.821 0.399  0.10
10 O 0.483 0.965 0.669  -0.01
11 O 0.344 0.688 0.889  0.01
12 O 0.992 0.984 0.692  0.02
13 O 0.995 0.991 0.197  -0.02
14 O 0.148 0.821 0.399  0.10
15 O 0.492 0.524 0.667  -0.01
16 O 0.032 0.524 0.667  -0.01
17 O 0.843 0.686 0.895  0.03
18 O 0.149 0.297 0.400  -0.03
19 O 0.978 0.505 0.160  0.09
20 O 0.527 0.505 0.160  0.09
21 O 0.673 0.345 0.387  -0.03
22 O 0.837 0.152 0.897  0.00
23 O 0.522 0.044 0.168  -0.04
24 O 0.315 0.152 0.897  0.00
25 Li 0.342 0.683 0.105  0.00
26 Li 0.004 0.007 0.009  0.00
27 Li 0.994 0.989 0.504  0.00
28 Li 0.665 0.331 0.604  0.00

First-principles (meta-GGA SCAN) data for a PBEsol-optimized structure of Cs3Tl2Br9, as listed in the Alexandria database.

Space group: P-3m1, No. 164
Formation energy from raw total energies: -1.196 eV per atom

abc: 8.042 8.042 9.842
angles: 90.00 90.00 120.00
Fractional positions:
1 Cs 0.667 0.333 0.336
2 Cs 0.333 0.667 0.664
3 Cs 0.000 0.000 0.000
4 Tl 0.667 0.333 0.812
5 Tl 0.333 0.667 0.188
6 Br 0.500 0.500 0.000
7 Br 0.000 0.500 0.000
8 Br 0.500 0.000 0.000
9 Br 0.834 0.668 0.674
10 Br 0.166 0.332 0.326
11 Br 0.834 0.166 0.674
12 Br 0.166 0.834 0.326
13 Br 0.332 0.166 0.674
14 Br 0.668 0.834 0.326

First-principles (meta-GGA SCAN) data for a PBEsol-optimized structure of HfTeSe, as listed in the Alexandria database.

Space group: P3m1, No. 156
Formation energy from raw total energies: -1.159 eV per atom

abc: 3.775 3.775 6.452
angles: 90.00 90.00 120.00
Fractional positions:
1 Te 0.333 0.667 0.730
2 Hf 0.000 0.000 0.019
3 Se 0.667 0.333 0.251

First-principles (meta-GGA SCAN) data for a PBEsol-optimized structure of ZrMoF2, as listed in the Alexandria database.

Space group: R-3m, No. 166
Formation energy from raw total energies: -0.944 eV per atom

abc: 2.783 2.783 8.351
angles: 80.41 80.41 60.00
Fractional positions:
1 Mo 0.500 0.500 0.500
2 Zr 0.000 0.000 0.000
3 F 0.914 0.914 0.259
4 F 0.086 0.086 0.741

First-principles (meta-GGA SCAN) data for a PBEsol-optimized structure of Ho6Ni20P13, as listed in the Alexandria database.

Space group: P-6, No. 174
E_form: -0.967 eV per atom

abc: 3.693 12.477 12.477
angles: 120.00 90.00 90.00
Fractional positions:
1 Ho 0.000 0.529 0.811
2 Ho 0.000 0.282 0.471
3 Ho 0.000 0.189 0.718
4 Ho 0.500 0.812 0.282
5 Ho 0.500 0.470 0.188
6 Ho 0.500 0.718 0.530
7 Ni 0.000 0.804 0.909
8 Ni 0.000 0.105 0.196
9 Ni 0.000 0.091 0.895
10 Ni 0.500 0.333 0.667
11 Ni 0.500 0.928 0.079
12 Ni 0.500 0.151 0.072
13 Ni 0.500 0.921 0.849
14 Ni 0.000 0.667 0.333
15 Ni 0.000 0.562 0.583
16 Ni 0.000 0.021 0.438
17 Ni 0.000 0.417 0.979
18 Ni 0.500 0.682 0.753
19 Ni 0.500 0.070 0.318
20 Ni 0.500 0.247 0.930
21 Ni 0.500 0.978 0.565
22 Ni 0.500 0.586 0.022
23 Ni 0.500 0.435 0.414
24 Ni 0.000 0.758 0.078
25 Ni 0.000 0.320 0.242
26 Ni 0.000 0.922 0.680
27 P 0.500 0.476 0.613
28 P 0.500 0.138 0.524
29 P 0.500 0.387 0.862
30 P 0.500 0.720 0.953
31 P 0.500 0.233 0.280
32 P 0.500 0.047 0.767
33 P 0.000 0.862 0.476
34 P 0.000 0.614 0.138
35 P 0.000 0.524 0.386
36 P 0.000 0.951 0.234
37 P 0.000 0.283 0.049
38 P 0.000 0.766 0.717
39 P 0.000 0.000 0.000

First-principles (meta-GGA SCAN) data for a PBEsol-optimized structure of Zr4Rh3, as listed in the Alexandria database.

Space group: R-3, No. 148
E_form: -0.744 eV per atom

abc: 5.652 7.333 7.333
angles: 113.64 104.89 104.89
Fractional positions:
1 Rh 0.434 0.572 0.716
2 Rh 0.862 0.144 0.428
3 Rh 0.718 0.284 0.856
4 Rh 0.566 0.428 0.284
5 Rh 0.138 0.856 0.572
6 Rh 0.282 0.716 0.144
7 Zr 0.500 0.000 0.000
8 Zr 0.000 0.000 0.000
9 Zr 0.783 0.707 0.144
10 Zr 0.076 0.437 0.293
11 Zr 0.639 0.856 0.563
12 Zr 0.217 0.293 0.856
13 Zr 0.924 0.563 0.707
14 Zr 0.361 0.144 0.437

First-principles (meta-GGA SCAN) data for a PBEsol-optimized structure of VPO5, as listed in the Alexandria database.

Space group: P4/n, No. 85
Formation energy from raw total energies: -2.478 eV per atom

abc: 4.372 6.050 6.050
angles: 90.00 90.00 90.00
Fractional positions:
1 V 0.211 0.000 0.500
2 V 0.789 0.500 0.000
3 P 0.500 0.500 0.500
4 P 0.500 0.000 0.000
5 O 0.705 0.456 0.299
6 O 0.295 0.701 0.456
7 O 0.848 0.000 0.500
8 O 0.295 0.299 0.544
9 O 0.705 0.544 0.701
10 O 0.295 0.956 0.799
11 O 0.705 0.201 0.956
12 O 0.152 0.500 0.000
13 O 0.705 0.799 0.044
14 O 0.295 0.044 0.201

First-principles (meta-GGA SCAN) data for a PBEsol-optimized structure of In2ReAs, as listed in the Alexandria database.

Space group: I4/mmm, No. 139
E_form: 0.770 eV per atom

abc: 4.121 4.121 5.205
angles: 113.33 113.33 90.00
Last column: magnetic moment on the atom in μB.
Fractional positions:
1 Re 0.500 0.500 0.000  0.71
2 As 0.000 0.000 0.000  0.10
3 In 0.750 0.250 0.500  -0.01
4 In 0.250 0.750 0.500  -0.01

Record-wise ρ values, in kg/m³: 5199 4599 8030 6803 8559 9099 3361 11126
Record-wise total moment values, in Bohr magnetons per cell: 9.39 0.01 0.00 0.00 0.00 0.00 0.00 1.02
Record-wise E_tot values, in eV/atom: -12.07 -32.14 -41.16 -19.11 -20.26 -32.76 -10.91 -38.75